(1)
First-principles (PBE) data for a geometry-optimized KNa3O2 structure, as listed in Alexandria.

Output
Its space-group type is No. 12. For the total energy, the calculation gives -21.45 eV/f.u. As for the energy relative to the elements, uncorrected: -1.079 eV/atom. The calculation puts the spin magnetization at 0.14 μB/cell.

Unit cell a=3.7940 b=7.3873 c=8.9633 alpha=115.00 beta=90.00 gamma=104.88
Closest atoms and distances in Å follow each position.
Atoms (fractional coordinates):
K1 0.8899 0.7798 0.9566  2 O 2.71, 1 K 2.89
K2 0.1101 0.2202 0.0434  2 O 2.71, 1 K 2.89
Na1 0.3312 0.6625 0.5894  4 O 2.35-2.51
Na2 0.9902 0.9804 0.6534  3 O 2.28-2.34
Na3 0.6430 0.2859 0.7068  3 O 2.27-2.35
Na4 0.3570 0.7141 0.2932  3 O 2.27-2.35
Na5 0.0098 0.0196 0.3466  3 O 2.28-2.34
Na6 0.6688 0.3375 0.4106  4 O 2.35-2.51
O1 0.5166 0.0333 0.8083  4 Na 2.28-2.51
O2 0.4834 0.9667 0.1917  4 Na 2.28-2.51
O3 0.8334 0.6667 0.4117  6 Na 2.27-2.49
O4 0.1666 0.3333 0.5883  6 Na 2.27-2.49

***

(2)
First-principles (PBE) data for a geometry-optimized PmBeNiC structure, as listed in Alexandria.

Output
Its space-group type is No. 129. For the total energy, the calculation gives -23.94 eV/f.u. The calculation puts the spin magnetization at 0.00 μB/cell. As for the formation energy: -0.1133 eV/atom.

Unit cell a=3.6865 b=3.6865 c=8.2515 alpha=90.00 beta=90.00 gamma=90.00
Closest atoms and distances in Å follow each position.
Atoms (fractional coordinates):
Pm1 0.0000 0.5000 0.8369  5 C 2.54-2.61
Pm2 0.5000 0.0000 0.1631  5 C 2.54-2.61
Be1 0.0000 0.5000 0.3495  1 C 1.69
Be2 0.5000 0.0000 0.6505  1 C 1.69
Ni1 0.0000 0.0000 0.5000  4 Be 2.22
Ni2 0.5000 0.5000 0.5000  4 Be 2.22
C1 0.5000 0.0000 0.8556  1 Be 1.69
C2 0.0000 0.5000 0.1444  1 Be 1.69

***

(3)
First-principles (PBE) data for a geometry-optimized Mn3SiH structure, as listed in Alexandria.

Output
Its space-group type is No. 15. For the total energy, the calculation gives -37.00 eV/f.u. The value obtained for the offset from the most stable computed form is 0.0996 eV per atom. The calculation puts the spin magnetization at 0.92 μB/cell.

Unit cell a=9.0971 b=6.4834 c=6.4834 alpha=78.49 beta=123.44 gamma=56.56
Closest atoms and distances in Å follow each position.
Atoms (fractional coordinates):
H1 0.7500 0.1858 0.6858  6 Mn 1.79-1.82
H2 0.2500 0.8142 0.3142  6 Mn 1.79-1.82
H3 0.7500 0.4480 0.9480  6 Mn 1.79-1.85
H4 0.2500 0.5520 0.0520  6 Mn 1.79-1.85
Si1 0.0542 0.5150 0.3492  8 Mn 2.43-2.54, 3 Si 2.62-2.65
Si2 0.4458 0.8492 0.0150  8 Mn 2.43-2.54, 3 Si 2.62-2.65
Si3 0.9458 0.4850 0.6508  8 Mn 2.43-2.54, 3 Si 2.62-2.65
Si4 0.5542 0.1508 0.9850  8 Mn 2.43-2.54, 3 Si 2.62-2.65
Mn1 0.4070 0.4043 0.4650  3 H 1.79-1.84
Mn2 0.0930 0.9650 0.9043  3 H 1.79-1.84
Mn3 0.5930 0.5957 0.5350  3 H 1.79-1.84
Mn4 0.9070 0.0350 0.0957  3 H 1.79-1.84
Mn5 0.0919 0.2249 0.1569  2 H 1.79-1.81
Mn6 0.4081 0.6569 0.7249  2 H 1.79-1.81
Mn7 0.9081 0.7751 0.8431  2 H 1.79-1.81
Mn8 0.5919 0.3431 0.2751  2 H 1.79-1.81
Mn9 0.5645 0.8839 0.7632  1 H 1.85
Mn10 0.9355 0.2632 0.3839  1 H 1.85
Mn11 0.4355 0.1161 0.2368  1 H 1.85
Mn12 0.0645 0.7368 0.6161  1 H 1.85

***

(4)
First-principles (PBE) data for a geometry-optimized Pm2HfP3Rh4 structure, as listed in Alexandria.

Output
Its space-group type is No. 115. For the total energy, the calculation gives -75.90 eV/f.u. The calculation puts the spin magnetization at 0.00 μB/cell. As for the formation energy: -1.0809 eV/atom.

Unit cell a=4.0131 b=4.0131 c=10.8878 alpha=90.00 beta=90.00 gamma=90.00
Closest atoms and distances in Å follow each position.
Atoms (fractional coordinates):
Pm1 0.5000 0.0000 0.2246  4 P 3.01, 8 Rh 3.15-3.16
Pm2 0.0000 0.5000 0.7754  4 P 3.01, 8 Rh 3.15-3.16
Hf1 0.5000 0.5000 0.5000  4 Rh 2.58, 4 P 2.84
P1 0.0000 0.0000 0.5000  4 Rh 2.58, 4 Hf 2.84
P2 0.5000 0.0000 0.8682  5 Rh 2.38-2.47
P3 0.0000 0.5000 0.1318  5 Rh 2.38-2.47
Rh1 0.5000 0.5000 0.0000  4 P 2.47
Rh2 0.0000 0.0000 0.0000  4 P 2.47
Rh3 0.5000 0.0000 0.6491  3 P 2.38-2.58, 2 Hf 2.58
Rh4 0.0000 0.5000 0.3509  3 P 2.38-2.58, 2 Hf 2.58

***

What is the spin magnetization in the fourth record?
0.00 μB/cell

***

What is the spin magnetization in the first record?
0.14 μB/cell